1.
This record from the Alexandria database describes crystalline NaSnPbI5 at its relaxed geometry. The functional is GGA-PBE.

Computed properties:
- total energy (eV/atom) = -2.7304
- DOS(E_F) (states/eV/cell) = 0.00
- theoretical density (kg/m³) = 4330
- formation energy without anion corrections (meV/atom) = -633

Structure (POSCAR):
```
NaSnPbI5
1.0
5.174 -7.117 0.000
5.174 7.117 0.000
-4.962 0.000 10.240
Na Sn Pb I
2 2 2 10
direct
0.074 0.926 0.750
0.926 0.074 0.250
0.384 0.616 0.750
0.616 0.384 0.250
0.000 0.500 0.000
0.500 0.000 0.500
0.150 0.304 0.806
0.183 0.732 0.549
0.268 0.817 0.951
0.304 0.150 0.306
0.370 0.630 0.250
0.630 0.370 0.750
0.696 0.850 0.694
0.732 0.183 0.049
0.817 0.268 0.451
0.850 0.696 0.194
```

2.
This record from the Alexandria database describes crystalline Na2SnPbI6 at its relaxed geometry. The functional is GGA-PBE.

Computed properties:
- total energy (eV/atom) = -2.7960
- DOS(E_F) (states/eV/cell) = 0.00
- theoretical density (kg/m³) = 4484
- formation energy without anion corrections (meV/atom) = -831

Structure (POSCAR):
```
Na2SnPbI6
1.0
4.054 2.341 7.371
-4.054 2.341 7.371
0.000 -4.681 7.371
Na Sn Pb I
2 1 1 6
direct
0.000 0.000 0.000
0.498 0.498 0.498
0.686 0.686 0.686
0.188 0.188 0.188
0.091 0.409 0.784
0.288 0.903 0.597
0.409 0.784 0.091
0.597 0.288 0.903
0.784 0.091 0.409
0.903 0.597 0.288
```

3.
This record from the Alexandria database describes crystalline NaSnPb2I at its relaxed geometry. The functional is GGA-PBE.

Computed properties:
- total energy (eV/atom) = -2.4227
- DOS(E_F) (states/eV/cell) = 3.39
- theoretical density (kg/m³) = 6230
- formation energy without anion corrections (meV/atom) = 435

Structure (POSCAR):
```
NaSnPb2I
1.0
5.676 0.000 0.000
0.000 5.676 0.000
0.000 0.000 5.651
Na Sn Pb I
1 1 2 1
direct
0.000 0.000 0.000
0.500 0.500 0.500
0.000 0.500 0.000
0.500 0.000 0.000
0.000 0.000 0.500
```

4.
This record from the Alexandria database describes crystalline NaTaPbI2 at its relaxed geometry. The functional is GGA-PBE.

Computed properties:
- total energy (eV/atom) = -2.9379
- DOS(E_F) (states/eV/cell) = 6.65
- theoretical density (kg/m³) = 6087
- formation energy without anion corrections (meV/atom) = 1058

Structure (POSCAR):
```
NaTaPbI2
1.0
5.556 0.000 0.000
0.000 5.556 0.000
0.000 0.000 5.877
Na Ta Pb I
1 1 1 2
direct
0.000 0.000 0.000
0.000 0.000 0.500
0.500 0.500 0.500
0.000 0.500 0.000
0.500 0.000 0.000
```

5.
This record from the Alexandria database describes crystalline NaTePbI2 at its relaxed geometry. The functional is GGA-PBE.

Computed properties:
- total energy (eV/atom) = -2.6140
- DOS(E_F) (states/eV/cell) = 5.97
- theoretical density (kg/m³) = 4214
- relative energy among the computed polymorphs (eV/atom) = 0.000
- formation energy without anion corrections (meV/atom) = -360

Structure (POSCAR):
```
NaTePbI2
1.0
6.332 0.000 0.000
0.000 6.332 0.000
0.000 0.000 6.012
Na Te Pb I
1 1 1 2
direct
0.000 0.000 0.000
0.500 0.500 0.000
0.500 0.500 0.500
0.000 0.500 0.500
0.500 0.000 0.500
```

6.
This record from the Alexandria database describes crystalline NaTe2PbI at its relaxed geometry. The functional is GGA-PBE.

Computed properties:
- total energy (eV/atom) = -2.6881
- DOS(E_F) (states/eV/cell) = 7.21
- theoretical density (kg/m³) = 4529
- relative energy among the computed polymorphs (eV/atom) = 0.000
- formation energy without anion corrections (meV/atom) = -116

Structure (POSCAR):
```
NaTe2PbI
1.0
5.917 0.000 0.000
0.000 5.917 0.000
0.000 0.000 6.413
Na Te Pb I
1 2 1 1
direct
0.000 0.000 0.000
0.000 0.500 0.500
0.500 0.000 0.500
0.500 0.500 0.500
0.500 0.500 0.000
```

7.
This record from the Alexandria database describes crystalline Na2Tl3PbI6 at its relaxed geometry. The functional is GGA-PBE.

Computed properties:
- total energy (eV/atom) = -2.6252
- DOS(E_F) (states/eV/cell) = 4.33
- theoretical density (kg/m³) = 5618
- formation energy without anion corrections (meV/atom) = -730

Structure (POSCAR):
```
Na2Tl3PbI6
1.0
3.964 -6.947 0.000
3.964 6.947 0.000
-2.726 0.000 8.736
Na Tl Pb I
2 3 1 6
direct
0.166 0.834 0.000
0.834 0.166 0.000
0.000 0.000 0.500
0.333 0.667 0.500
0.667 0.333 0.500
0.500 0.500 0.000
0.092 0.426 0.779
0.240 0.240 0.220
0.426 0.092 0.779
0.574 0.908 0.221
0.760 0.760 0.780
0.908 0.574 0.221
```

8.
This record from the Alexandria database describes crystalline NaTlPb2I6 at its relaxed geometry. The functional is GGA-PBE.

Computed properties:
- total energy (eV/atom) = -2.7888
- DOS(E_F) (states/eV/cell) = 0.00
- theoretical density (kg/m³) = 5166
- formation energy without anion corrections (meV/atom) = -749

Structure (POSCAR):
```
NaTlPb2I6
1.0
4.174 2.410 7.475
-4.174 2.410 7.475
0.000 -4.819 7.475
Na Tl Pb I
1 1 2 6
direct
0.000 0.000 0.000
0.506 0.506 0.506
0.312 0.312 0.312
0.807 0.807 0.807
0.077 0.410 0.710
0.180 0.939 0.589
0.410 0.710 0.077
0.589 0.180 0.939
0.710 0.077 0.410
0.939 0.589 0.180
```